Density functional theory data (PBEsol) for crystalline SrSiBr2 at its relaxed geometry.

Cell lengths 4.3532, 4.3532, 26.0351 Å; angles 90.00, 90.00, 120.00 degrees
With the nearest neighbours (Å) after each atom.
Space group R-3m (No. 166, hexagonal axes)
Inequivalent atoms, fractional coordinates:
Sr 0.0000 0.0000 0.0000 [3 per cell]  2 Br 3.02
Si 0.0000 0.0000 0.5000 [3 per cell]  6 Br 2.84
Br 0.0000 0.0000 0.1160 [6 per cell]  3 Si 2.84, 1 Sr 3.02

Output
Energy relative to the elements, uncorrected: -227.6 meV per atom
Crystal system: trigonal
Energy above the most stable polymorph in this dataset: 0.4947 eV/atom
ρ: 3.2 g/cm³
Magnetization: 0.00 μB/atom


Density functional theory data (PBEsol) for crystalline TaSiBr2 at its relaxed geometry.

Cell lengths 6.0562, 9.3833, 3.1454 Å; angles 90.00, 120.44, 90.00 degrees
With the nearest neighbours (Å) after each atom.
Space group C2/m (No. 12)
Inequivalent atoms, fractional coordinates:
Ta 0.0000 0.0000 0.0000 [2 per cell]  4 Br 2.79, 4 Si 3.03-3.07
Si 0.0000 0.5000 0.0000 [2 per cell]  4 Br 2.79, 4 Ta 3.03-3.07
Br 0.2500 0.2500 0.0000 [4 per cell]  2 Ta 2.79, 2 Si 2.79, 4 Br 3.03-3.07

Output
Energy relative to the elements, uncorrected: 574.3 meV per atom
Crystal system: monoclinic
Energy above the most stable polymorph in this dataset: 0.1417 eV/atom
ρ: 7.9 g/cm³
Magnetization: 0.09 μB/atom


Density functional theory data (PBEsol) for crystalline Ta2SiBr at its relaxed geometry.

Cell lengths 3.5340, 4.7500, 9.0369 Å; angles 90.00, 90.00, 90.00 degrees
With the nearest neighbours (Å) after each atom.
Space group Cmm2 (No. 35)
Inequivalent atoms, fractional coordinates:
Ta 0.0000 0.0000 0.0000 [2 per cell]  2 Si 2.59, 2 Ta 2.83
Ta 0.0000 0.5000 0.2448 [2 per cell]  2 Br 2.65, 6 Ta 2.83-2.96
Si 0.0000 0.5000 0.7899 [2 per cell]  2 Ta 2.59
Br 0.0000 0.0000 0.4630 [2 per cell]  2 Ta 2.65, 4 Br 2.96

Output
Energy relative to the elements, uncorrected: 111.7 meV per atom
Crystal system: orthorhombic
Energy above the most stable polymorph in this dataset: 0.0740 eV/atom
ρ: 10.3 g/cm³
Magnetization: 0.00 μB/atom